Computed, not measured: a geometry-optimized Cr4SeBr structure at the PBE level of DFT.

Values from the calculation:
* crystal system: cubic
* ΔE_f (raw): 0.92 eV per atom

abc: 7.017 7.017 7.017
angles: 90.00 90.00 90.00
Space group F-43m (No. 216)
Unique sites:
Cr: 0.125 0.125 0.125 x16
Se: 0.250 0.250 0.750 x4
Br: 0.000 0.000 0.500 x4